[1]
VASP calculation (PBE-GGA) on ScNi2Ir after structural relaxation.

Crystal system: tetragonal
Space group: I-4m2
DOS at the Fermi energy, states/eV per cell: 5.75
Calculated formation energy, eV/atom: -0.35
Final energy, eV/atom: -7.042

Lattice parameters (Å, degrees): 4.681 4.681 4.681 131.76 131.76 70.60
Sites, in units of the cell vectors:
Ni: 0.000 0.000 0.000
Ni: 0.750 0.250 0.500
Sc: 0.500 0.500 0.000
Ir: 0.250 0.750 0.500

=====

[2]
VASP calculation (PBE-GGA) on CrCuPS2 after structural relaxation.

Energy above the most stable polymorph in this dataset, kJ/mol of formula units: 0
Crystal system: tetragonal
Uncorrected formation energy, eV/atom: 0.52
Space group: P4/mmm
DOS at the Fermi energy, states/eV per cell: 3.91
Final energy, eV/atom: -4.953

Lattice parameters (Å, degrees): 4.458 4.458 4.521 90.00 90.00 90.00
Sites, in units of the cell vectors:
Cr: 0.000 0.000 0.000
S: 0.500 0.000 0.000
S: 0.000 0.500 0.000
Cu: 0.500 0.500 0.500
P: 0.000 0.000 0.500

=====

[3]
VASP calculation (PBE-GGA) on RePb3C after structural relaxation.

Energy above the most stable polymorph in this dataset, kJ/mol of formula units: 60
Crystal system: cubic
Space group: Pm-3m
DOS at the Fermi energy, states/eV per cell: 5.00
Calculated formation energy, eV/atom: 1.77
Final energy, eV/atom: -4.788

Lattice parameters (Å, degrees): 4.867 4.867 4.867 90.00 90.00 90.00
Sites, in units of the cell vectors:
Pb: 0.000 0.000 0.500
Pb: 0.000 0.500 0.000
Re: 0.500 0.500 0.500
C: 0.000 0.000 0.000
Pb: 0.500 0.000 0.000

=====

[4]
VASP calculation (PBE-GGA) on Li2LuMg after structural relaxation.

Energy above the most stable polymorph in this dataset, kJ/mol of formula units: 23
Crystal system: tetragonal
Space group: P4/mmm
DOS at the Fermi energy, states/eV per cell: 3.44
Calculated formation energy, eV/atom: 0.13
Final energy, eV/atom: -2.353

Lattice parameters (Å, degrees): 3.288 5.220 5.220 90.00 90.00 90.00
Sites, in units of the cell vectors:
Li: 0.000 0.500 0.000
Lu: 0.500 0.500 0.500
Li: 0.000 0.000 0.500
Mg: 0.500 0.000 0.000

=====

no.,spin magnetization (μB/f.u.)
1,1.079
2,1.017
3,2.308
4,0.000